No. 1
LaPmMgAu after structural relaxation. Source: Alexandria via LeMat-Bulk, functional PBE.

## Properties
E_form (eV/atom): -0.3678
V (Å³/cell): 111
SG: No. 216
Magnetic moment (μB/f.u.): 0.06
Relative energy among the computed polymorphs (eV per formula unit): 0.30
Calculated density (g/cm³): 7.5

Cell: 5.3970 5.3970 5.3970 Å, 60.00 60.00 60.00°
Atoms (fractional coordinates):
Mg (0.5000, 0.5000, 0.5000)
La (0.2500, 0.2500, 0.2500)
Au (0.0000, 0.0000, 0.0000)
Pm (0.7500, 0.7500, 0.7500)



No. 2
LaPmMgAu after structural relaxation. Source: Alexandria via LeMat-Bulk, functional PBE.

## Properties
E_form (eV/atom): -0.4428
V (Å³/cell): 111
SG: No. 99
Magnetic moment (μB/f.u.): 0.00
Relative energy among the computed polymorphs (eV per formula unit): 0.00
Calculated density (g/cm³): 7.6

Cell: 3.8398 3.8398 7.5347 Å, 90.00 90.00 90.00°
Atoms (fractional coordinates):
La (0.0000, 0.0000, 0.8424)
Pm (0.0000, 0.0000, 0.3741)
Mg (0.5000, 0.5000, 0.1180)
Au (0.5000, 0.5000, 0.5934)



No. 3
LaMgPtAu after structural relaxation. Source: Alexandria via LeMat-Bulk, functional PBE.

## Properties
E_form (eV/atom): -0.8903
V (Å³/cell): 91
SG: No. 8
Magnetic moment (μB/f.u.): 0.00
Relative energy among the computed polymorphs (eV per formula unit): 0.00
Calculated density (g/cm³): 10.2

Cell: 4.6447 4.6437 5.5403 Å, 114.71 90.00 120.01°
Atoms (fractional coordinates):
La (0.6190, 0.2381, 0.4995)
Mg (0.1095, 0.2189, 0.9708)
Pt (0.4027, 0.8054, 0.8500)
Au (0.8351, 0.6702, 0.1471)



No. 4
LaMgPtAu after structural relaxation. Source: Alexandria via LeMat-Bulk, functional PBE.

## Properties
E_form (eV/atom): -0.8054
V (Å³/cell): 89
SG: No. 216
Magnetic moment (μB/f.u.): 0.00
Relative energy among the computed polymorphs (eV per formula unit): 0.34
Calculated density (g/cm³): 10.4

Cell: 5.0127 5.0127 5.0127 Å, 60.00 60.00 60.00°
Atoms (fractional coordinates):
Mg (0.2500, 0.2500, 0.2500)
Au (0.5000, 0.5000, 0.5000)
Pt (0.0000, 0.0000, 0.0000)
La (0.7500, 0.7500, 0.7500)



No. 5
LaMgPtAu2 after structural relaxation. Source: Alexandria via LeMat-Bulk, functional PBE.

## Properties
E_form (eV/atom): 1.1329
V (Å³/cell): 187
SG: No. 123
Magnetic moment (μB/f.u.): 0.19
Calculated density (g/cm³): 6.7

Cell: 5.4332 6.3220 5.4332 Å, 90.00 90.00 90.00°
Atoms (fractional coordinates):
Mg (0.0000, 0.5000, 0.0000)
Au (0.0000, 0.0000, 0.5000)
Au (0.5000, 0.0000, 0.0000)
Pt (0.5000, 0.5000, 0.5000)
La (0.0000, 0.0000, 0.0000)



No. 6
LaMgSbAu after structural relaxation. Source: Alexandria via LeMat-Bulk, functional PBE.

## Properties
V (Å³/cell): 103
SG: No. 216
Magnetic moment (μB/f.u.): 0.00
DFT total energy (eV/atom): -4.137
Calculated density (g/cm³): 7.8

Cell: 5.2547 5.2547 5.2547 Å, 60.00 60.00 60.00°
Atoms (fractional coordinates):
Sb (0.5000, 0.5000, 0.5000)
Mg (0.2500, 0.2500, 0.2500)
Au (0.0000, 0.0000, 0.0000)
La (0.7500, 0.7500, 0.7500)



No. 7
LaMgSc2Au4 after structural relaxation. Source: Alexandria via LeMat-Bulk, functional PBE.

## Properties
E_form (eV/atom): -0.7420
V (Å³/cell): 174
SG: No. 166
Magnetic moment (μB/f.u.): 0.00
Calculated density (g/cm³): 10.0

Cell: 4.7725 4.7725 9.2184 Å, 75.00 75.00 60.00°
Atoms (fractional coordinates):
La (0.0000, 0.0000, 0.0000)
Mg (0.5000, 0.5000, 0.5000)
Sc (0.7627, 0.7627, 0.7118)
Sc (0.2373, 0.2373, 0.2882)
Au (0.3963, 0.3963, 0.8111)
Au (0.8750, 0.8750, 0.3751)
Au (0.1250, 0.1250, 0.6249)
Au (0.6037, 0.6037, 0.1889)



No. 8
La2MgScAu6 after structural relaxation. Source: Alexandria via LeMat-Bulk, functional PBE.

## Properties
E_form (eV/atom): -0.4694
V (Å³/cell): 280
SG: No. 2
Magnetic moment (μB/f.u.): 0.00
Calculated density (g/cm³): 9.1

Cell: 6.3397 8.8327 8.8194 Å, 42.17 68.88 89.97°
Atoms (fractional coordinates):
La (0.2085, 0.7924, 0.5832)
La (0.7915, 0.2076, 0.4168)
Mg (0.0000, 0.0000, 0.0000)
Sc (0.5000, 0.5000, 0.0000)
Au (0.2445, 0.7530, 0.9755)
Au (0.7786, 0.7534, 0.9759)
Au (0.2448, 0.2178, 0.5099)
Au (0.7555, 0.2470, 0.0245)
Au (0.2214, 0.2466, 0.0241)
Au (0.7552, 0.7822, 0.4901)



No. 9
LaMg2ScAu4 after structural relaxation. Source: Alexandria via LeMat-Bulk, functional PBE.

## Properties
E_form (eV/atom): -0.7413
V (Å³/cell): 169
SG: No. 166
Magnetic moment (μB/f.u.): 0.00
Calculated density (g/cm³): 10.0

Cell: 4.7885 4.7885 8.9722 Å, 74.52 74.52 60.00°
Atoms (fractional coordinates):
La (0.0000, 0.0000, 0.0000)
Mg (0.7582, 0.7582, 0.7254)
Mg (0.2418, 0.2418, 0.2746)
Sc (0.5000, 0.5000, 0.5000)
Au (0.3916, 0.3916, 0.8251)
Au (0.8713, 0.8713, 0.3862)
Au (0.1287, 0.1287, 0.6138)
Au (0.6084, 0.6084, 0.1749)



No. 10
LaMgAuSe2 after structural relaxation. Source: Alexandria via LeMat-Bulk, functional PBE.

## Properties
V (Å³/cell): 153
SG: No. 123
Magnetic moment (μB/f.u.): 0.00
DFT total energy (eV/atom): -3.432
Calculated density (g/cm³): 5.6

Cell: 5.2939 5.4721 5.2939 Å, 90.00 90.00 90.00°
Atoms (fractional coordinates):
Mg (0.5000, 0.5000, 0.5000)
Au (0.0000, 0.0000, 0.0000)
Se (0.0000, 0.0000, 0.5000)
Se (0.5000, 0.0000, 0.0000)
La (0.0000, 0.5000, 0.0000)



No. 11
LaMg2SiAu4 after structural relaxation. Source: Alexandria via LeMat-Bulk, functional PBE.

## Properties
V (Å³/cell): 166
SG: No. 166
Magnetic moment (μB/f.u.): 0.00
DFT total energy (eV/atom): -3.820
Calculated density (g/cm³): 10.0

Cell: 4.4629 4.4629 9.9535 Å, 77.04 77.04 60.00°
Atoms (fractional coordinates):
La (0.0000, 0.0000, 0.0000)
Mg (0.7625, 0.7625, 0.7124)
Mg (0.2375, 0.2375, 0.2876)
Si (0.5000, 0.5000, 0.5000)
Au (0.3968, 0.3968, 0.8096)
Au (0.8672, 0.8672, 0.3983)
Au (0.1328, 0.1328, 0.6017)
Au (0.6032, 0.6032, 0.1904)



No. 12
La2MgSi3Au12 after structural relaxation. Source: Alexandria via LeMat-Bulk, functional PBE.

## Properties
V (Å³/cell): 415
SG: No. 166
Magnetic moment (μB/f.u.): 0.00
DFT total energy (eV/atom): -3.907
Calculated density (g/cm³): 11.0

Cell: 7.8906 7.8906 7.8906 Å, 69.37 69.37 69.37°
Atoms (fractional coordinates):
La (0.6061, 0.6061, 0.6061)
La (0.3939, 0.3939, 0.3939)
Mg (0.0000, 0.0000, 0.0000)
Si (0.5000, 0.0000, 0.0000)
Si (0.0000, 0.5000, 0.0000)
Si (0.0000, 0.0000, 0.5000)
Au (0.3090, 0.3090, 0.8502)
Au (0.8587, 0.8587, 0.3720)
Au (0.3720, 0.8587, 0.8587)
Au (0.8502, 0.3090, 0.3090)
Au (0.8587, 0.3720, 0.8587)
Au (0.3090, 0.8502, 0.3090)
Au (0.6910, 0.6910, 0.1498)
Au (0.1413, 0.1413, 0.6280)
Au (0.6280, 0.1413, 0.1413)
Au (0.1498, 0.6910, 0.6910)
Au (0.1413, 0.6280, 0.1413)
Au (0.6910, 0.1498, 0.6910)



No. 13
La2Sm2MgAu4 after structural relaxation. Source: Alexandria via LeMat-Bulk, functional PBE.

## Properties
E_form (eV/atom): -0.4964
V (Å³/cell): 240
SG: No. 139
Magnetic moment (μB/f.u.): 0.00
Calculated density (g/cm³): 9.6

Cell: 6.8705 6.8705 6.8705 Å, 96.56 116.29 116.29°
Atoms (fractional coordinates):
La (0.5000, 0.7500, 0.2500)
La (0.5000, 0.2500, 0.7500)
Sm (0.0000, 0.6770, 0.6770)
Sm (0.0000, 0.3230, 0.3230)
Mg (0.0000, 0.0000, 0.0000)
Au (0.0000, 0.7436, 0.2564)
Au (0.4872, 0.7436, 0.7436)
Au (0.0000, 0.2564, 0.7436)
Au (0.5128, 0.2564, 0.2564)



No. 14
LaMgSn2Au4 after structural relaxation. Source: Alexandria via LeMat-Bulk, functional PBE.

## Properties
E_form (eV/atom): -0.5471
V (Å³/cell): 176
SG: No. 166
Magnetic moment (μB/f.u.): 0.00
Calculated density (g/cm³): 11.2

Cell: 4.8118 4.8118 9.2110 Å, 74.86 74.86 60.00°
Atoms (fractional coordinates):
La (0.0000, 0.0000, 0.0000)
Mg (0.5000, 0.5000, 0.5000)
Sn (0.7508, 0.7508, 0.7475)
Sn (0.2492, 0.2492, 0.2525)
Au (0.3929, 0.3929, 0.8214)
Au (0.8611, 0.8611, 0.4168)
Au (0.1389, 0.1389, 0.5832)
Au (0.6071, 0.6071, 0.1786)



No. 15
LaMg2SnAu4 after structural relaxation. Source: Alexandria via LeMat-Bulk, functional PBE.

## Properties
E_form (eV/atom): -0.5673
V (Å³/cell): 177
SG: No. 166
Magnetic moment (μB/f.u.): 0.00
Calculated density (g/cm³): 10.3

Cell: 4.6003 4.6003 10.0072 Å, 76.71 76.71 60.00°
Atoms (fractional coordinates):
La (0.0000, 0.0000, 0.0000)
Mg (0.7587, 0.7587, 0.7239)
Mg (0.2413, 0.2413, 0.2761)
Sn (0.5000, 0.5000, 0.5000)
Au (0.3930, 0.3930, 0.8209)
Au (0.8798, 0.8798, 0.3605)
Au (0.1202, 0.1202, 0.6395)
Au (0.6070, 0.6070, 0.1791)



No. 16
La2MgSn3Au4 after structural relaxation. Source: Alexandria via LeMat-Bulk, functional PBE.

## Properties
E_form (eV/atom): -0.6695
V (Å³/cell): 244
SG: No. 115
Magnetic moment (μB/f.u.): 0.00
Calculated density (g/cm³): 9.8

Cell: 4.6079 4.6079 11.4884 Å, 90.00 90.00 90.00°
Atoms (fractional coordinates):
La (0.5000, 0.0000, 0.2329)
La (0.0000, 0.5000, 0.7671)
Mg (0.5000, 0.5000, 0.5000)
Sn (0.0000, 0.0000, 0.5000)
Sn (0.5000, 0.0000, 0.8639)
Sn (0.0000, 0.5000, 0.1361)
Au (0.5000, 0.5000, 0.0000)
Au (0.0000, 0.0000, 0.0000)
Au (0.5000, 0.0000, 0.6321)
Au (0.0000, 0.5000, 0.3679)



No. 17
La2MgSn4Au3 after structural relaxation. Source: Alexandria via LeMat-Bulk, functional PBE.

## Properties
E_form (eV/atom): -0.6088
V (Å³/cell): 251
SG: No. 115
Magnetic moment (μB/f.u.): 0.00
Calculated density (g/cm³): 9.0

Cell: 4.5687 4.5687 12.0365 Å, 90.00 90.00 90.00°
Atoms (fractional coordinates):
La (0.5000, 0.0000, 0.2508)
La (0.0000, 0.5000, 0.7492)
Mg (0.5000, 0.5000, 0.5000)
Sn (0.5000, 0.5000, 0.0000)
Sn (0.0000, 0.0000, 0.0000)
Sn (0.5000, 0.0000, 0.6391)
Sn (0.0000, 0.5000, 0.3609)
Au (0.0000, 0.0000, 0.5000)
Au (0.5000, 0.0000, 0.8600)
Au (0.0000, 0.5000, 0.1400)



No. 18
La2MgSnAu6 after structural relaxation. Source: Alexandria via LeMat-Bulk, functional PBE.

## Properties
E_form (eV/atom): -0.5365
V (Å³/cell): 237
SG: No. 2
Magnetic moment (μB/f.u.): 0.00
Calculated density (g/cm³): 11.2

Cell: 7.0901 6.8006 5.5733 Å, 71.43 68.81 79.73°
Atoms (fractional coordinates):
La (0.2497, 0.7645, 0.5012)
La (0.7503, 0.2355, 0.4988)
Mg (0.5000, 0.5000, 0.0000)
Sn (0.0000, 0.0000, 0.0000)
Au (0.0970, 0.5658, 0.1485)
Au (0.6652, 0.8334, 0.9830)
Au (0.2940, 0.2630, 0.5040)
Au (0.9030, 0.4342, 0.8515)
Au (0.3348, 0.1666, 0.0170)
Au (0.7060, 0.7370, 0.4960)



No. 19
La2MgSnAu after structural relaxation. Source: Alexandria via LeMat-Bulk, functional PBE.

## Properties
E_form (eV/atom): -0.3634
V (Å³/cell): 168
SG: No. 123
Magnetic moment (μB/f.u.): 0.00
Calculated density (g/cm³): 6.1

Cell: 5.7604 5.0756 5.7604 Å, 90.00 90.00 90.00°
Atoms (fractional coordinates):
Mg (0.0000, 0.5000, 0.0000)
Au (0.0000, 0.0000, 0.0000)
Sn (0.5000, 0.5000, 0.5000)
La (0.0000, 0.0000, 0.5000)
La (0.5000, 0.0000, 0.0000)



No. 20
LaTbMg2Au4 after structural relaxation. Source: Alexandria via LeMat-Bulk, functional PBE.

## Properties
E_form (eV/atom): -0.7561
V (Å³/cell): 178
SG: No. 166
Magnetic moment (μB/f.u.): 0.00
Calculated density (g/cm³): 10.6

Cell: 4.9676 4.9676 8.7945 Å, 73.59 73.59 60.00°
Atoms (fractional coordinates):
La (0.0000, 0.0000, 0.0000)
Tb (0.5000, 0.5000, 0.5000)
Mg (0.7529, 0.7529, 0.7412)
Mg (0.2471, 0.2471, 0.2588)
Au (0.3822, 0.3822, 0.8535)
Au (0.8722, 0.8722, 0.3835)
Au (0.1278, 0.1278, 0.6165)
Au (0.6178, 0.6178, 0.1465)